Entry 1:
This record from Alexandria describes a geometry-optimized Pu3Ga9Ir2 structure. The functional is PBE.

a b c (Å): 4.330 9.527 12.380
angles (deg): 90.00 90.00 90.00
Space group Immm (No. 71)
Unique sites:
Pu: 0.000 0.000 0.000
Pu: 0.000 0.000 0.298
Ga: 0.000 0.281 0.135
Ga: 0.000 0.364 0.347
Ga: 0.000 0.500 0.000
Ir: 0.000 0.174 0.500

Values from the calculation:
formation enthalpy at 0 K = -0.4412 eV per atom
mass density = 11.34 g/cm3

Entry 2:
This record from Alexandria describes a geometry-optimized Pu3Ga3Ir2 structure. The functional is PBE.

a b c (Å): 15.594 4.416 5.080
angles (deg): 90.00 102.57 90.00
Space group C2/m (No. 12)
Unique sites:
Pu: 0.000 0.000 0.000
Pu: 0.159 0.000 0.591
Ga: 0.000 0.500 0.500
Ga: 0.135 0.500 0.082
Ir: 0.216 0.000 0.129

Values from the calculation:
formation enthalpy at 0 K = -0.4080 eV per atom
mass density = 12.89 g/cm3
offset from the most stable computed form = 0.57 eV per formula unit

Entry 3:
This record from Alexandria describes a geometry-optimized PuGaIr structure. The functional is PBE.

a b c (Å): 3.114 3.114 11.480
angles (deg): 90.00 90.00 90.00
Space group I4mm (No. 107)
Unique sites:
Pu: 0.000 0.000 0.000
Ga: 0.000 0.000 0.699
Ir: 0.000 0.000 0.321

Values from the calculation:
formation enthalpy at 0 K = -0.4137 eV per atom
mass density = 15.09 g/cm3

Entry 4:
This record from Alexandria describes a geometry-optimized PuGa3Ir structure. The functional is PBE.

a b c (Å): 4.203 4.203 10.863
angles (deg): 90.00 90.00 90.00
Space group I4mm (No. 107)
Unique sites:
Pu: 0.000 0.000 0.000
Ga: 0.000 0.000 0.594
Ga: 0.000 0.500 0.243
Ir: 0.000 0.000 0.370

Values from the calculation:
formation enthalpy at 0 K = -0.4358 eV per atom
mass density = 11.17 g/cm3
offset from the most stable computed form = 0.00 eV per formula unit

Entry 5:
This record from Alexandria describes a geometry-optimized PuGaIr2 structure. The functional is PBE.

a b c (Å): 3.056 3.056 7.233
angles (deg): 90.00 90.00 90.00
Space group P4/mmm (No. 123)
Unique sites:
Pu: 0.000 0.000 0.000
Ga: 0.000 0.000 0.500
Ir: 0.500 0.500 0.290

Values from the calculation:
formation enthalpy at 0 K = -0.3860 eV per atom
mass density = 17.17 g/cm3

Entry 6:
This record from Alexandria describes a geometry-optimized Pu2Ga8Ir structure. The functional is PBE.

a b c (Å): 4.328 4.328 11.165
angles (deg): 90.00 90.00 90.00
Space group P4/mmm (No. 123)
Unique sites:
Pu: 0.000 0.000 0.192
Ga: 0.000 0.500 0.000
Ga: 0.000 0.500 0.376
Ga: 0.500 0.500 0.194
Ir: 0.000 0.000 0.500

Values from the calculation:
formation enthalpy at 0 K = -0.4464 eV per atom
mass density = 9.83 g/cm3

Entry 7:
This record from Alexandria describes a geometry-optimized Pu3GaIr3 structure. The functional is PBE.

a b c (Å): 8.3534 8.3534 4.5995
angles (deg): 90.00 90.00 120.00
Space group P6_3/m (No. 176)
Unique sites:
Pu: 0.0732 0.6446 0.2500
Ga: 0.3333 0.6667 0.7500
Ir: 0.0337 0.8237 0.7500

Values from the calculation:
formation enthalpy at 0 K = -0.3017 eV per atom
mass density = 16.47 g/cm3

Entry 8:
This record from Alexandria describes a geometry-optimized Pu4Ga4Ir structure. The functional is PBE.

a b c (Å): 9.850 9.850 3.856
angles (deg): 90.00 90.00 90.00
Space group I4/mmm (No. 139)
Unique sites:
Pu: 0.160 0.160 0.000
Ga: 0.000 0.355 0.500
Ir: 0.000 0.000 0.500

Values from the calculation:
formation enthalpy at 0 K = -0.2825 eV per atom
mass density = 12.85 g/cm3

Entry 9:
This record from Alexandria describes a geometry-optimized PuGa4Ir structure. The functional is PBE.

a b c (Å): 7.666 4.138 6.951
angles (deg): 90.00 90.00 90.00
Space group Pmma (No. 51)
Unique sites:
Pu: 0.250 0.000 0.131
Ga: 0.000 0.000 0.500
Ga: 0.061 0.500 0.821
Ga: 0.250 0.500 0.445
Ir: 0.250 0.000 0.710

Values from the calculation:
formation enthalpy at 0 K = -0.4592 eV per atom
mass density = 10.77 g/cm3

Entry 10:
This record from Alexandria describes a geometry-optimized Pu5GaIr2 structure. The functional is PBE.

a b c (Å): 4.9993 4.9993 24.0640
angles (deg): 90.00 90.00 120.00
Space group R-3m (No. 166, hexagonal axes)
Unique sites:
Pu: 0.0000 0.0000 0.0000
Pu: 0.0000 0.0000 0.1249
Pu: 0.0000 0.0000 0.2750
Ga: 0.0000 0.0000 0.5000
Ir: 0.0000 0.0000 0.3942

Values from the calculation:
formation enthalpy at 0 K = -0.2302 eV per atom
mass density = 16.01 g/cm3

Entry 11:
This record from Alexandria describes a geometry-optimized Pu3Ga3Ir2 structure. The functional is PBE.

a b c (Å): 7.828 15.251 5.573
angles (deg): 90.00 90.00 90.00
Space group Pnma (No. 62)
Unique sites:
Pu: 0.035 0.107 0.103
Pu: 0.162 0.250 0.637
Ga: 0.174 0.036 0.593
Ga: 0.176 0.750 0.642
Ir: 0.118 0.613 0.379

Values from the calculation:
formation enthalpy at 0 K = -0.4789 eV per atom
mass density = 13.23 g/cm3
offset from the most stable computed form = 0.00 eV per formula unit

Entry 12:
This record from Alexandria describes a geometry-optimized PuGaIr structure. The functional is PBE.

a b c (Å): 4.212 9.864 5.602
angles (deg): 90.00 90.00 90.00
Space group Cmcm (No. 63)
Unique sites:
Pu: 0.000 0.205 0.250
Ga: 0.000 0.500 0.000
Ir: 0.000 0.091 0.750

Values from the calculation:
formation enthalpy at 0 K = -0.5207 eV per atom
mass density = 14.44 g/cm3